# FeMoIO2 (PBE+U, optimized geometry)
data_FeMoIO2
_cell_length_a 4.0064
_cell_length_b 4.0064
_cell_length_c 5.9309
_cell_angle_alpha 90.00
_cell_angle_beta 90.00
_cell_angle_gamma 90.00
_space_group_name_H-M_alt 'P 4/m m m'
_space_group_IT_number 123
_space_group_name_Hall '-P 4 2'
loop_
_atom_site_label
_atom_site_fract_x
_atom_site_fract_y
_atom_site_fract_z
Fe1 0.0000 0.0000 0.0000
Mo1 0.5000 0.5000 0.5000
I1 0.0000 0.0000 0.5000
O1 0.0000 0.5000 0.0000
# - magnetization (μB per formula unit) = 9.749
# - density of states at the Fermi level (states/eV/cell) = 2.7
# - offset from the most stable computed form (meV/atom) = 451